No. 1
DFT (meta-GGA SCAN) results for a crystal of Be2SiCl2 relaxed with PBEsol.

Unit cell a=4.101 b=4.101 c=5.616 alpha=111.42 beta=111.42 gamma=90.00
Last column: magnetic moment on the atom in μB.
Fractional positions:
Be 0.250 0.750 0.500  0.00
Be 0.750 0.250 0.500  0.00
Si 0.000 0.000 0.000  0.16
Cl 0.334 0.334 0.669  0.04
Cl 0.666 0.666 0.331  0.04



No. 2
DFT (meta-GGA SCAN) results for a crystal of Be2SiCl relaxed with PBEsol.

Results
- relative energy among the computed polymorphs (meV/atom) = 504

Unit cell a=2.650 b=4.471 c=4.471 alpha=90.00 beta=90.00 gamma=90.00
Fractional positions:
Be 0.000 0.000 0.500
Be 0.000 0.500 0.000
Si 0.500 0.000 0.000
Cl 0.500 0.500 0.500



No. 3
DFT (meta-GGA SCAN) results for a crystal of Be2SiCl relaxed with PBEsol.

Results
- relative energy among the computed polymorphs (meV/atom) = 345

Unit cell a=2.824 b=2.824 c=6.505 alpha=90.00 beta=90.00 gamma=90.00
Fractional positions:
Be 0.000 0.000 0.723
Be 0.000 0.000 0.277
Si 0.500 0.500 0.500
Cl 0.500 0.500 0.000



No. 4
DFT (meta-GGA SCAN) results for a crystal of Be2SiCl relaxed with PBEsol.

Results
- relative energy among the computed polymorphs (meV/atom) = 109

Unit cell a=2.877 b=3.845 c=4.874 alpha=90.00 beta=90.00 gamma=90.00
Fractional positions:
Be 0.000 0.000 0.939
Be 0.500 0.500 0.360
Si 0.500 0.500 0.845
Cl 0.000 0.000 0.356



No. 5
DFT (meta-GGA SCAN) results for a crystal of BeSn3Cl relaxed with PBEsol.

Unit cell a=5.248 b=5.248 c=5.248 alpha=90.00 beta=90.00 gamma=90.00
Fractional positions:
Be 0.500 0.500 0.500
Sn 0.000 0.500 0.000
Sn 0.000 0.000 0.500
Sn 0.500 0.000 0.000
Cl 0.000 0.000 0.000



No. 6
DFT (meta-GGA SCAN) results for a crystal of Be2TlSnCl relaxed with PBEsol.

Unit cell a=4.500 b=4.500 c=6.574 alpha=90.00 beta=90.00 gamma=90.00
Fractional positions:
Be 0.000 0.500 0.000
Be 0.500 0.000 0.000
Tl 0.000 0.000 0.500
Sn 0.000 0.000 0.000
Cl 0.500 0.500 0.500



No. 7
DFT (meta-GGA SCAN) results for a crystal of SrBeCl2 relaxed with PBEsol.

Unit cell a=4.212 b=4.212 c=5.901 alpha=110.91 beta=110.91 gamma=90.00
Fractional positions:
Sr 0.500 0.500 0.000
Be 0.250 0.750 0.500
Cl 0.000 0.000 0.000
Cl 0.750 0.250 0.500



No. 8
DFT (meta-GGA SCAN) results for a crystal of TaBeCl2 relaxed with PBEsol.

Results
- relative energy among the computed polymorphs (meV/atom) = 0

Unit cell a=3.154 b=3.728 c=7.209 alpha=104.98 beta=102.63 gamma=90.00
Fractional positions:
Be 0.000 0.500 0.000
Cl 0.857 0.857 0.714
Cl 0.143 0.143 0.286
Ta 0.500 0.000 0.000



No. 9
DFT (meta-GGA SCAN) results for a crystal of TaBeCl2 relaxed with PBEsol.

Results
- relative energy among the computed polymorphs (meV/atom) = 870

Unit cell a=4.009 b=4.009 c=4.581 alpha=115.95 beta=115.95 gamma=90.00
Fractional positions:
Be 0.000 0.000 0.000
Cl 0.750 0.250 0.500
Cl 0.250 0.750 0.500
Ta 0.500 0.500 0.000



No. 10
DFT (meta-GGA SCAN) results for a crystal of TaBeCl relaxed with PBEsol.

Unit cell a=4.099 b=4.099 c=4.099 alpha=60.00 beta=60.00 gamma=60.00
Fractional positions:
Be 0.250 0.250 0.250
Ta 0.500 0.500 0.500
Cl 0.000 0.000 0.000



No. 11
DFT (meta-GGA SCAN) results for a crystal of TaBe2Cl relaxed with PBEsol.

Results
- relative energy among the computed polymorphs (meV/atom) = 0

Unit cell a=2.789 b=4.416 c=4.580 alpha=96.12 beta=90.00 gamma=108.41
Fractional positions:
Be 0.006 0.012 0.956
Be 0.271 0.542 0.804
Cl 0.479 0.958 0.477
Ta 0.744 0.489 0.262



No. 12
DFT (meta-GGA SCAN) results for a crystal of TaBe2Cl relaxed with PBEsol.

Results
- relative energy among the computed polymorphs (meV/atom) = 264

Unit cell a=3.528 b=3.528 c=4.801 alpha=111.55 beta=111.55 gamma=90.00
Fractional positions:
Be 0.000 0.000 0.000
Be 0.750 0.250 0.500
Cl 0.500 0.500 0.000
Ta 0.250 0.750 0.500



No. 13
DFT (meta-GGA SCAN) results for a crystal of BeTeCl2 relaxed with PBEsol.

Results
- relative energy among the computed polymorphs (meV/atom) = 122

Unit cell a=6.377 b=6.377 c=6.377 alpha=91.33 beta=119.23 gamma=119.23
Fractional positions:
Be 0.000 0.500 0.500
Be 0.500 0.250 0.750
Te 0.000 0.000 0.000
Te 0.500 0.750 0.250
Cl 0.808 0.433 0.125
Cl 0.192 0.317 0.625
Cl 0.692 0.375 0.567
Cl 0.308 0.875 0.683



No. 14
DFT (meta-GGA SCAN) results for a crystal of BeTeCl2 relaxed with PBEsol.

Results
- relative energy among the computed polymorphs (meV/atom) = 1120

Unit cell a=4.758 b=4.758 c=4.758 alpha=60.00 beta=60.00 gamma=60.00
Last column: magnetic moment on the atom in μB.
Fractional positions:
Be 0.500 0.500 0.500  -0.04
Te 0.750 0.750 0.750  -0.29
Cl 0.000 0.000 0.000  -0.22
Cl 0.250 0.250 0.250  -0.19



No. 15
DFT (meta-GGA SCAN) results for a crystal of BeTeCl2 relaxed with PBEsol.

Results
- relative energy among the computed polymorphs (meV/atom) = 889

Unit cell a=3.242 b=4.428 c=5.522 alpha=90.00 beta=90.00 gamma=90.00
Fractional positions:
Be 0.000 0.500 0.500
Te 0.500 0.500 0.000
Cl 0.000 0.000 0.000
Cl 0.500 0.000 0.500



No. 16
DFT (meta-GGA SCAN) results for a crystal of BeTeCl relaxed with PBEsol.

Unit cell a=3.224 b=3.407 c=7.433 alpha=103.25 beta=102.52 gamma=90.00
Fractional positions:
Be 0.156 0.156 0.312
Te 0.559 0.559 0.118
Cl 0.285 0.285 0.570



No. 17
DFT (meta-GGA SCAN) results for a crystal of BeTeCl2 relaxed with PBEsol.

Results
- relative energy among the computed polymorphs (meV/atom) = 0

Unit cell a=3.921 b=5.039 c=5.727 alpha=109.41 beta=90.00 gamma=90.00
Fractional positions:
Be 0.500 0.396 0.881
Te 0.000 0.229 0.619
Cl 0.000 0.827 0.777
Cl 0.500 0.548 0.224



No. 18
DFT (meta-GGA SCAN) results for a crystal of BeZn2TeCl relaxed with PBEsol.

Unit cell a=3.989 b=4.905 c=4.905 alpha=90.00 beta=90.00 gamma=90.00
Fractional positions:
Be 0.000 0.000 0.000
Zn 0.000 0.000 0.500
Zn 0.000 0.500 0.000
Te 0.500 0.500 0.500
Cl 0.500 0.000 0.000



No. 19
DFT (meta-GGA SCAN) results for a crystal of ZrBe2TeCl relaxed with PBEsol.

Unit cell a=4.667 b=5.020 c=5.020 alpha=90.00 beta=90.00 gamma=90.00
Fractional positions:
Be 0.000 0.000 0.500
Be 0.000 0.500 0.000
Te 0.500 0.500 0.500
Zr 0.000 0.000 0.000
Cl 0.500 0.000 0.000



No. 20
DFT (meta-GGA SCAN) results for a crystal of TiBeCl3 relaxed with PBEsol.

Unit cell a=4.420 b=4.420 c=4.420 alpha=90.00 beta=90.00 gamma=90.00
Last column: magnetic moment on the atom in μB.
Fractional positions:
Be 0.000 0.000 0.000  0.02
Cl 0.000 0.500 0.000  -0.01
Cl 0.000 0.000 0.500  -0.01
Cl 0.500 0.000 0.000  -0.01
Ti 0.500 0.500 0.500  2.17



No. 21
DFT (meta-GGA SCAN) results for a crystal of TiBeCl2 relaxed with PBEsol.

Unit cell a=5.270 b=5.270 c=6.150 alpha=115.37 beta=115.37 gamma=90.00
Last column: magnetic moment on the atom in μB.
Fractional positions:
Be 0.750 0.250 0.500  0.05
Be 0.500 0.500 0.000  0.05
Cl 0.812 0.375 0.250  0.01
Cl 0.438 0.875 0.250  0.01
Cl 0.625 0.562 0.750  0.01
Cl 0.125 0.188 0.750  0.01
Ti 0.250 0.750 0.500  1.86
Ti 0.000 0.000 0.000  1.86



No. 22
DFT (meta-GGA SCAN) results for a crystal of YTiBe2Cl relaxed with PBEsol.

Unit cell a=4.932 b=5.044 c=5.044 alpha=90.00 beta=90.00 gamma=90.00
Fractional positions:
Y 0.000 0.000 0.000
Be 0.000 0.000 0.500
Be 0.000 0.500 0.000
Cl 0.500 0.500 0.500
Ti 0.500 0.000 0.000



No. 23
DFT (meta-GGA SCAN) results for a crystal of Be4TlCl relaxed with PBEsol.

Unit cell a=4.846 b=4.846 c=4.846 alpha=60.00 beta=60.00 gamma=60.00
Fractional positions:
Be 0.630 0.630 0.111
Be 0.111 0.630 0.630
Be 0.630 0.111 0.630
Be 0.630 0.630 0.630
Tl 0.000 0.000 0.000
Cl 0.250 0.250 0.250



No. 24
DFT (meta-GGA SCAN) results for a crystal of BeWCl3 relaxed with PBEsol.

Unit cell a=4.457 b=4.457 c=4.457 alpha=90.00 beta=90.00 gamma=90.00
Last column: magnetic moment on the atom in μB.
Fractional positions:
Be 0.000 0.000 0.000  0.02
W 0.500 0.500 0.500  3.56
Cl 0.000 0.500 0.000  0.02
Cl 0.000 0.000 0.500  0.02
Cl 0.500 0.000 0.000  0.02



No. 25
DFT (meta-GGA SCAN) results for a crystal of BeWCl4 relaxed with PBEsol.

Unit cell a=5.528 b=5.528 c=5.528 alpha=60.00 beta=60.00 gamma=60.00
Last column: magnetic moment on the atom in μB.
Fractional positions:
Be 0.000 0.000 0.000  -0.15
W 0.750 0.750 0.750  3.11
Cl 0.376 0.376 0.376  -0.40
Cl 0.376 0.376 0.873  -0.40
Cl 0.873 0.376 0.376  -0.40
Cl 0.376 0.873 0.376  -0.40



No. 26
DFT (meta-GGA SCAN) results for a crystal of YBe2Cl relaxed with PBEsol.

Results
- relative energy among the computed polymorphs (meV/atom) = 88

Unit cell a=3.329 b=5.031 c=5.031 alpha=119.38 beta=90.00 gamma=90.00
Fractional positions:
Y 0.500 0.500 0.500
Be 0.000 0.500 0.000
Be 0.000 0.000 0.500
Cl 0.500 0.000 0.000



No. 27
DFT (meta-GGA SCAN) results for a crystal of YBe2Cl relaxed with PBEsol.

Results
- relative energy among the computed polymorphs (meV/atom) = 0

Unit cell a=3.621 b=3.621 c=5.282 alpha=90.00 beta=90.00 gamma=90.00
Fractional positions:
Y 0.000 0.000 0.500
Be 0.000 0.500 0.000
Be 0.500 0.000 0.000
Cl 0.500 0.500 0.500



No. 28
DFT (meta-GGA SCAN) results for a crystal of YBe2Cl relaxed with PBEsol.

Results
- relative energy among the computed polymorphs (meV/atom) = 280

Unit cell a=3.165 b=3.165 c=8.273 alpha=78.97 beta=78.97 gamma=60.00
Last column: magnetic moment on the atom in μB.
Fractional positions:
Y 0.000 0.000 0.000  0.57
Be 0.237 0.237 0.290  0.01
Be 0.763 0.763 0.710  0.01
Cl 0.500 0.500 0.500  0.01



No. 29
DFT (meta-GGA SCAN) results for a crystal of Y2BeCl relaxed with PBEsol.

Results
- relative energy among the computed polymorphs (meV/atom) = 169

Unit cell a=3.280 b=3.280 c=7.594 alpha=90.00 beta=90.00 gamma=90.00
Fractional positions:
Y 0.000 0.000 0.780
Y 0.000 0.000 0.220
Be 0.500 0.500 0.000
Cl 0.500 0.500 0.500



Number 1: formation energy from raw total energies 3.587 eV/f.u.. Number 2: formation energy from raw total energies 2.581 eV/f.u.. Number 3: formation energy from raw total energies 1.942 eV/f.u.. Number 4: formation energy from raw total energies 1.000 eV/f.u.. Number 5: formation energy from raw total energies 5.209 eV/f.u.. Number 6: formation energy from raw total energies 1.812 eV/f.u.. Number 7: formation energy from raw total energies -3.718 eV/f.u.. Number 8: formation energy from raw total energies -1.072 eV/f.u.. Number 9: formation energy from raw total energies 2.407 eV/f.u.. Number 10: formation energy from raw total energies 4.629 eV/f.u.. Number 11: formation energy from raw total energies 1.766 eV/f.u.. Number 12: formation energy from raw total energies 2.824 eV/f.u.. Number 13: formation energy from raw total energies -2.088 eV/f.u.. Number 14: formation energy from raw total energies 1.901 eV/f.u.. Number 15: formation energy from raw total energies 0.977 eV/f.u.. Number 16: formation energy from raw total energies -1.305 eV/f.u.. Number 17: formation energy from raw total energies -2.577 eV/f.u.. Number 18: formation energy from raw total energies 1.602 eV/f.u.. Number 19: formation energy from raw total energies 3.501 eV/f.u.. Number 20: formation energy from raw total energies -2.995 eV/f.u.. Number 21: formation energy from raw total energies -0.595 eV/f.u.. Number 22: formation energy from raw total energies 8.672 eV/f.u.. Number 23: formation energy from raw total energies 3.541 eV/f.u.. Number 24: formation energy from raw total energies 2.558 eV/f.u.. Number 25: formation energy from raw total energies 10.205 eV/f.u.. Number 26: formation energy from raw total energies 0.687 eV/f.u.. Number 27: formation energy from raw total energies 0.334 eV/f.u.. Number 28: formation energy from raw total energies 1.454 eV/f.u.. Number 29: formation energy from raw total energies -2.406 eV/f.u..